No. 1
## BaLa2MgCu (PBE-GGA)

Data for BaLa2MgCu after structural relaxation.

Results
SG	P4/mmm (123)
ΔH_f (0 K)	0.078	eV per atom
mass density	4.78	g/cm3
spin magnetization	0.0	μB per formula unit
D(E_F)	6.09	states/eV/f.u.
raw total energy	-3.415	eV/atom

```
BaLa2MgCu
1.0
5.758 0.000 0.000
0.000 5.758 0.000
0.000 0.000 5.273
Mg Ba Cu La
1 1 1 2
direct
0.000 0.000 0.500
0.500 0.500 0.500
0.000 0.000 0.000
0.000 0.500 0.000
0.500 0.000 0.000
```

---

No. 2
## Pr5Tl2Sb (PBE-GGA)

Data for Pr5Tl2Sb after structural relaxation.

Results
SG	Pbam (55)
mass density	7.86	g/cm3
relative energy among the computed polymorphs	0.014	eV/atom
spin magnetization	0.0	μB per formula unit
D(E_F)	6.27	states/eV/f.u.
ΔE_f (raw)	-0.48	eV/atom
raw total energy	-4.572	eV/atom

```
Pr5Tl2Sb
1.0
-1.223 -3.933 -3.209
6.647 -3.086 1.248
-5.128 -6.856 10.357
Pr Tl Sb
10 4 2
direct
0.000 0.000 0.500
0.000 0.500 0.000
0.000 0.866 0.224
0.000 0.134 0.776
0.000 0.634 0.724
0.000 0.366 0.276
0.500 0.687 0.411
0.500 0.313 0.589
0.500 0.813 0.911
0.500 0.187 0.089
0.500 0.611 0.159
0.500 0.389 0.841
0.500 0.889 0.659
0.500 0.111 0.341
0.000 0.500 0.500
0.000 0.000 0.000
```